No. 1
# Co4Ir3Rh12 (PBE, relaxed)
# Calculated total energy   -258.8 eV per cell
# Formation energy   0.73 eV per atom
# D(E_F)   61.2 states/eV/cell
data_Co4Ir3Rh12
_symmetry_space_group_name_H-M 'I m -3'
_symmetry_Int_Tables_number 204
_symmetry_space_group_name_Hall '-I 2 2 3'
_cell_length_a 9.040
_cell_length_b 9.040
_cell_length_c 9.040
_cell_angle_alpha 90.00
_cell_angle_beta 90.00
_cell_angle_gamma 90.00
loop_
_atom_site_label
_atom_site_type_symbol
_atom_site_fract_x
_atom_site_fract_y
_atom_site_fract_z
Co1 Co 0.250 0.250 0.250
Ir1 Ir 0.000 0.000 0.500
Rh1 Rh 0.000 0.355 0.259

=====

No. 2
# CoIrRh2 (PBE, relaxed)
# Calculated total energy   -59.6 eV per cell
# Formation energy   0.22 eV per atom
# D(E_F)   15.4 states/eV/cell
data_CoIrRh2
_symmetry_space_group_name_H-M 'I m m 2'
_symmetry_Int_Tables_number 44
_cell_length_a 2.710
_cell_length_b 4.481
_cell_length_c 9.133
_cell_angle_alpha 90.00
_cell_angle_beta 90.00
_cell_angle_gamma 90.00
loop_
_symmetry_equiv_pos_as_xyz
'x,y,z'
'-x,-y,z'
'-x,y,z'
'x,-y,z'
'x+1/2,y+1/2,z+1/2'
'-x+1/2,-y+1/2,z+1/2'
'-x+1/2,y+1/2,z+1/2'
'x+1/2,-y+1/2,z+1/2'
loop_
_atom_site_label
_atom_site_type_symbol
_atom_site_fract_x
_atom_site_fract_y
_atom_site_fract_z
Co1 Co 0.000 0.000 0.000
Ir1 Ir 0.000 0.500 0.725
Rh1 Rh 0.000 0.000 0.487
Rh2 Rh 0.000 0.500 0.268

=====

No. 3
# CoIrRh2 (PBE, relaxed)
# Calculated total energy   -61.0 eV per cell
# Formation energy   0.04 eV per atom
# D(E_F)   9.9 states/eV/cell
data_CoIrRh2
_symmetry_space_group_name_H-M 'C 1 2/m 1'
_symmetry_Int_Tables_number 12
_cell_length_a 8.880
_cell_length_b 2.698
_cell_length_c 4.600
_cell_angle_alpha 90.00
_cell_angle_beta 100.40
_cell_angle_gamma 90.00
loop_
_symmetry_equiv_pos_as_xyz
'x,y,z'
'-x,-y,-z'
'-x,y,-z'
'x,-y,z'
'x+1/2,y+1/2,z'
'-x+1/2,-y+1/2,-z'
'-x+1/2,y+1/2,-z'
'x+1/2,-y+1/2,z'
loop_
_atom_site_label
_atom_site_type_symbol
_atom_site_fract_x
_atom_site_fract_y
_atom_site_fract_z
Co1 Co 0.000 0.000 0.000
Ir1 Ir 0.000 0.500 0.500
Rh1 Rh 0.249 0.500 0.247

=====

No. 4
# CoIrRh2 (PBE, relaxed)
# Calculated total energy   -91.3 eV per cell
# Formation energy   0.06 eV per atom
# D(E_F)   15.8 states/eV/cell
data_CoIrRh2
_symmetry_space_group_name_H-M 'R 3 m'
_symmetry_Int_Tables_number 160
_symmetry_space_group_name_Hall 'R 3 -2"'
_cell_length_a 2.7079
_cell_length_b 2.7079
_cell_length_c 25.7692
_cell_angle_alpha 90.00
_cell_angle_beta 90.00
_cell_angle_gamma 120.00
loop_
_atom_site_label
_atom_site_type_symbol
_atom_site_fract_x
_atom_site_fract_y
_atom_site_fract_z
Co1 Co 0.0000 0.0000 0.0000
Ir1 Ir 0.0000 0.0000 0.7466
Rh1 Rh 0.0000 0.0000 0.2537
Rh2 Rh 0.0000 0.0000 0.4997

=====

No. 5
# Co2IrRh (PBE, relaxed)
# Calculated total energy   -88.1 eV per cell
# Formation energy   0.26 eV per atom
# D(E_F)   16.5 states/eV/cell
data_Co2IrRh
_symmetry_space_group_name_H-M 'R 3 m'
_symmetry_Int_Tables_number 160
_symmetry_space_group_name_Hall 'R 3 -2"'
_cell_length_a 4.0256
_cell_length_b 4.0256
_cell_length_c 11.6154
_cell_angle_alpha 90.00
_cell_angle_beta 90.00
_cell_angle_gamma 120.00
loop_
_atom_site_label
_atom_site_type_symbol
_atom_site_fract_x
_atom_site_fract_y
_atom_site_fract_z
Co1 Co 0.0000 0.0000 0.0000
Co2 Co 0.0000 0.0000 0.3308
Ir1 Ir 0.0000 0.0000 0.5549
Rh1 Rh 0.0000 0.0000 0.7769

=====

No. 6
# Co2IrRh (PBE, relaxed)
# Calculated total energy   -60.3 eV per cell
# Formation energy   0.06 eV per atom
# D(E_F)   11.1 states/eV/cell
data_Co2IrRh
_symmetry_space_group_name_H-M 'A m m 2'
_symmetry_Int_Tables_number 38
_cell_length_a 3.993
_cell_length_b 2.649
_cell_length_c 9.683
_cell_angle_alpha 90.00
_cell_angle_beta 90.00
_cell_angle_gamma 90.00
loop_
_symmetry_equiv_pos_as_xyz
'x,y,z'
'-x,-y,z'
'-x,y,z'
'x,-y,z'
'x,y+1/2,z+1/2'
'-x,-y+1/2,z+1/2'
'-x,y+1/2,z+1/2'
'x,-y+1/2,z+1/2'
loop_
_atom_site_label
_atom_site_type_symbol
_atom_site_fract_x
_atom_site_fract_y
_atom_site_fract_z
Co1 Co 0.000 0.000 0.000
Co2 Co 0.500 0.000 0.128
Ir1 Ir 0.000 0.000 0.735
Rh1 Rh 0.500 0.000 0.390

=====

No. 7
# Co3Ir3Rh2 (PBE, relaxed)
# Calculated total energy   -242.8 eV per cell
# Formation energy   0.24 eV per atom
# D(E_F)   44.0 states/eV/cell
data_Co3Ir3Rh2
_symmetry_space_group_name_H-M 'C m c m'
_symmetry_Int_Tables_number 63
_symmetry_space_group_name_Hall '-C 2c 2'
_cell_length_a 2.686
_cell_length_b 12.722
_cell_length_c 12.792
_cell_angle_alpha 90.00
_cell_angle_beta 90.00
_cell_angle_gamma 90.00
loop_
_atom_site_label
_atom_site_type_symbol
_atom_site_fract_x
_atom_site_fract_y
_atom_site_fract_z
Co1 Co 0.000 0.037 0.085
Co2 Co 0.000 0.326 0.250
Ir1 Ir 0.000 0.370 0.059
Ir2 Ir 0.000 0.485 0.750
Rh1 Rh 0.000 0.296 0.637

=====

No. 8
# Co2Ir2Rh (PBE, relaxed)
# Calculated total energy   -39.2 eV per cell
# Formation energy   0.02 eV per atom
# D(E_F)   4.7 states/eV/cell
data_Co2Ir2Rh
_symmetry_space_group_name_H-M 'P -3 m 1'
_symmetry_Int_Tables_number 164
_symmetry_space_group_name_Hall '-P 3 2"'
_cell_length_a 2.6839
_cell_length_b 2.6839
_cell_length_c 10.5897
_cell_angle_alpha 90.00
_cell_angle_beta 90.00
_cell_angle_gamma 120.00
loop_
_atom_site_label
_atom_site_type_symbol
_atom_site_fract_x
_atom_site_fract_y
_atom_site_fract_z
Co1 Co 0.3333 0.6667 0.4103
Ir1 Ir 0.3333 0.6667 0.7860
Rh1 Rh 0.0000 0.0000 0.0000

=====

No. 9
# Co3Ir4Rh12 (PBE, relaxed)
# Calculated total energy   -261.5 eV per cell
# Formation energy   0.75 eV per atom
# D(E_F)   61.1 states/eV/cell
data_Co3Ir4Rh12
_symmetry_space_group_name_H-M 'I m -3'
_symmetry_Int_Tables_number 204
_symmetry_space_group_name_Hall '-I 2 2 3'
_cell_length_a 9.178
_cell_length_b 9.178
_cell_length_c 9.178
_cell_angle_alpha 90.00
_cell_angle_beta 90.00
_cell_angle_gamma 90.00
loop_
_atom_site_label
_atom_site_type_symbol
_atom_site_fract_x
_atom_site_fract_y
_atom_site_fract_z
Co1 Co 0.000 0.000 0.500
Ir1 Ir 0.250 0.250 0.250
Rh1 Rh 0.000 0.360 0.271

=====

No. 10
# CoIrRh2 (PBE, relaxed)
# Calculated total energy   -61.1 eV per cell
# Formation energy   0.03 eV per atom
# D(E_F)   9.4 states/eV/cell
data_CoIrRh2
_symmetry_space_group_name_H-M 'C 1 m 1'
_symmetry_Int_Tables_number 8
_cell_length_a 8.860
_cell_length_b 2.694
_cell_length_c 4.638
_cell_angle_alpha 90.00
_cell_angle_beta 100.55
_cell_angle_gamma 90.00
loop_
_symmetry_equiv_pos_as_xyz
'x,y,z'
'x,-y,z'
'x+1/2,y+1/2,z'
'x+1/2,-y+1/2,z'
loop_
_atom_site_label
_atom_site_type_symbol
_atom_site_fract_x
_atom_site_fract_y
_atom_site_fract_z
Co1 Co 0.000 0.000 0.000
Ir1 Ir 0.255 0.000 0.753
Rh1 Rh 0.004 0.500 0.505
Rh2 Rh 0.249 0.500 0.243

=====

No. 11
# Co4Ir3Rh (PBE, relaxed)
# Calculated total energy   -123.8 eV per cell
# Formation energy   0.06 eV per atom
# D(E_F)   22.2 states/eV/cell
data_Co4Ir3Rh
_symmetry_space_group_name_H-M 'C 1 2/m 1'
_symmetry_Int_Tables_number 12
_cell_length_a 17.060
_cell_length_b 2.665
_cell_length_c 4.546
_cell_angle_alpha 90.00
_cell_angle_beta 94.65
_cell_angle_gamma 90.00
loop_
_symmetry_equiv_pos_as_xyz
'x,y,z'
'-x,-y,-z'
'-x,y,-z'
'x,-y,z'
'x+1/2,y+1/2,z'
'-x+1/2,-y+1/2,-z'
'-x+1/2,y+1/2,-z'
'x+1/2,-y+1/2,z'
loop_
_atom_site_label
_atom_site_type_symbol
_atom_site_fract_x
_atom_site_fract_y
_atom_site_fract_z
Co1 Co 0.129 0.000 0.372
Co2 Co 0.249 0.500 0.268
Ir1 Ir 0.000 0.500 0.500
Ir2 Ir 0.132 0.500 0.873
Rh1 Rh 0.000 0.000 0.000

=====

No. 12
# ScCoIrRh (PBE, relaxed)
# Calculated total energy   -123.9 eV per cell
# Formation energy   -0.33 eV per atom
# D(E_F)   25.2 states/eV/cell
data_ScCoIrRh
_symmetry_space_group_name_H-M 'F -4 3 m'
_symmetry_Int_Tables_number 216
_symmetry_space_group_name_Hall 'F -4 2 3'
_cell_length_a 6.207
_cell_length_b 6.207
_cell_length_c 6.207
_cell_angle_alpha 90.00
_cell_angle_beta 90.00
_cell_angle_gamma 90.00
loop_
_atom_site_label
_atom_site_type_symbol
_atom_site_fract_x
_atom_site_fract_y
_atom_site_fract_z
Sc1 Sc 0.000 0.000 0.000
Co1 Co 0.000 0.000 0.500
Ir1 Ir 0.250 0.250 0.750
Rh1 Rh 0.250 0.250 0.250